[1]
Material: InTe2Ru
Method: DFT, PBE
State: optimized geometry

- mass density (kg/m³) = 7954
- ΔE_f (raw) (meV per atom) = 44
- space group = P4mm, No. 99

abc: 3.2008 3.2015 9.5969
angles: 90.00 90.00 90.00
With the nearest neighbours (Å) after each atom.
Atoms (fractional coordinates):
In (0.0000, 0.0000, 0.5541)  4 Ru 3.01, 4 In 3.20
Ru (0.5000, 0.5000, 0.7611)  4 Te 2.70, 4 In 3.01
Te (0.0000, 0.0000, 0.9135)  4 Ru 2.70
Te (0.5000, 0.5000, 0.2713)  4 Te 3.20, 4 In 3.53

[2]
Material: In2TeRu
Method: DFT, PBE
State: optimized geometry

- mass density (kg/m³) = 7717
- ΔE_f (raw) (meV per atom) = 74
- space group = R3m, No. 160

abc: 10.3895 10.3895 10.3895
angles: 18.50 18.50 18.50
With the nearest neighbours (Å) after each atom.
Atoms (fractional coordinates):
In (0.9895, 0.9895, 0.9895)  9 In 3.31-3.34
In (0.2352, 0.2352, 0.2352)  3 Ru 2.86
Ru (0.4997, 0.4997, 0.4997)  3 Te 2.61, 3 In 2.86
Te (0.7756, 0.7756, 0.7756)  3 Ru 2.61

The lowest ΔE_f (raw) belongs to which entry?
InTe2Ru

The lowest ΔE_f (raw) belongs to which entry?
InTe2Ru

Please write out number 2 again, unchanged.
Material: In2TeRu
Method: DFT, PBE
State: optimized geometry

- mass density (kg/m³) = 7717
- ΔE_f (raw) (meV per atom) = 74
- space group = R3m, No. 160

abc: 10.3895 10.3895 10.3895
angles: 18.50 18.50 18.50
With the nearest neighbours (Å) after each atom.
Atoms (fractional coordinates):
In (0.9895, 0.9895, 0.9895)  9 In 3.31-3.34
In (0.2352, 0.2352, 0.2352)  3 Ru 2.86
Ru (0.4997, 0.4997, 0.4997)  3 Te 2.61, 3 In 2.86
Te (0.7756, 0.7756, 0.7756)  3 Ru 2.61

Which value of mass density does entry 2 give?
7717 kg/m³